# Cd2PdRh PBE relaxed
data_Cd2PdRh
_cell_length_a 4.571
_cell_length_b 4.571
_cell_length_c 3.276
_cell_angle_alpha 90.00
_cell_angle_beta 90.00
_cell_angle_gamma 90.00
_space_group_name_H-M_alt 'P 4/m m m'
_space_group_IT_number 123
_space_group_name_Hall '-P 4 2'
loop_
_atom_site_label
_atom_site_fract_x
_atom_site_fract_y
_atom_site_fract_z
Cd1 0.000 0.500 0.000
Pd1 0.000 0.000 0.500
Rh1 0.500 0.500 0.500
# Total DFT energy (no corrections) ... -3.861 eV/atom
# DFT formation energy ... -1.070 eV/f.u.
# Energy relative to the lowest polymorph listed for this composition ... 0.0000 eV/atom